Run 1
Here is crystalline Cs2MgCuCl6 at its relaxed geometry from Alexandria. Energies are from PBE.

Values from the calculation:
The density of states at the Fermi level is 5.29 states/eV/f.u.

Cell: 7.2931 7.2931 12.6762 Å, 73.28 73.28 60.00°
Closest atoms and distances in Å follow each position.
Fractional positions:
1 Cs 0.8751 0.8751 0.3748  12 Cl 3.65-3.77
2 Cs 0.2918 0.2918 0.1245  12 Cl 3.63-3.77
3 Cs 0.1249 0.1249 0.6252  12 Cl 3.65-3.77
4 Cs 0.7082 0.7082 0.8755  12 Cl 3.63-3.77
5 Cl 0.7949 0.7949 0.1215  1 Mg 2.52, 1 Cu 2.54
6 Cl 0.2051 0.7112 0.8785  1 Mg 2.52, 1 Cu 2.54
7 Cl 0.7112 0.2051 0.8785  1 Mg 2.52, 1 Cu 2.54
8 Cl 0.3894 0.3894 0.3750  1 Cu 2.44, 1 Mg 2.55
9 Cl 0.8463 0.3894 0.3750  1 Cu 2.44, 1 Mg 2.55
10 Cl 0.2051 0.2051 0.8785  1 Mg 2.52, 1 Cu 2.54
11 Cl 0.6106 0.1537 0.6250  1 Cu 2.44, 1 Mg 2.55
12 Cl 0.7949 0.2888 0.1215  1 Mg 2.52, 1 Cu 2.54
13 Cl 0.6106 0.6106 0.6250  1 Cu 2.44, 1 Mg 2.55
14 Cl 0.3894 0.8463 0.3750  1 Cu 2.44, 1 Mg 2.55
15 Cl 0.1537 0.6106 0.6250  1 Cu 2.44, 1 Mg 2.55
16 Cl 0.2888 0.7949 0.1215  1 Mg 2.52, 1 Cu 2.54
17 Mg 0.4116 0.4116 0.7652  6 Cl 2.52-2.55
18 Mg 0.5884 0.5884 0.2348  6 Cl 2.52-2.55
19 Cu 0.5000 0.5000 0.5000  6 Cl 2.44
20 Cu 0.0000 0.0000 0.0000  6 Cl 2.54

---

Run 2
Here is crystalline Cs2MgCuCl6 at its relaxed geometry from Alexandria. Energies are from PBE.

Values from the calculation:
The density of states at the Fermi level is 1.24 states/eV/f.u.

Cell: 7.3039 7.3039 7.2096 Å, 59.57 59.57 90.00°
Closest atoms and distances in Å follow each position.
Fractional positions:
1 Cs 0.2500 0.7500 0.5000  12 Cl 3.61-3.66
2 Cs 0.7500 0.2500 0.5000  12 Cl 3.61-3.66
3 Cl 0.7413 0.2587 0.0000  1 Mg 2.49, 1 Cu 2.67
4 Cl 0.7740 0.7740 0.4520  1 Cu 2.27
5 Cl 0.2587 0.7413 0.0000  1 Mg 2.49, 1 Cu 2.67
6 Cl 0.2587 0.2587 0.0000  1 Mg 2.49, 1 Cu 2.67
7 Cl 0.2260 0.2260 0.5480  1 Cu 2.27
8 Cl 0.7413 0.7413 0.0000  1 Mg 2.49, 1 Cu 2.67
9 Mg 0.5000 0.5000 0.0000  6 Cl 2.49-2.76
10 Cu 0.0000 0.0000 0.0000  2 Cl 2.27

---

Which structure is most stable? run 1, by 3.0 kJ/mol of atoms over the runner-up.

---

Run 1
Here is crystalline Cs2TbCuCl6 at its relaxed geometry from Alexandria. Energies are from PBE.

Values from the calculation:
The density of states at the Fermi level is 0.00 states/eV/f.u.

Cell: 7.4507 7.4507 7.4507 Å, 60.00 60.00 60.00°
Closest atoms and distances in Å follow each position.
Fractional positions:
1 Cl 0.2529 0.7471 0.2529  1 Cu 2.60, 1 Tb 2.66
2 Cl 0.7471 0.2529 0.7471  1 Cu 2.60, 1 Tb 2.66
3 Cl 0.7471 0.7471 0.2529  1 Cu 2.60, 1 Tb 2.66
4 Cl 0.2529 0.2529 0.7471  1 Cu 2.60, 1 Tb 2.66
5 Cl 0.7471 0.2529 0.2529  1 Cu 2.60, 1 Tb 2.66
6 Cl 0.2529 0.7471 0.7471  1 Cu 2.60, 1 Tb 2.66
7 Cs 0.2500 0.2500 0.2500  12 Cl 3.73
8 Cs 0.7500 0.7500 0.7500  12 Cl 3.73
9 Tb 0.0000 0.0000 0.0000  6 Cl 2.66
10 Cu 0.5000 0.5000 0.5000  6 Cl 2.60

---

Run 2
Here is crystalline Cs2TbCuCl6 at its relaxed geometry from Alexandria. Energies are from PBE.

Values from the calculation:
The density of states at the Fermi level is 0.00 states/eV/f.u.

Cell: 7.4980 7.4973 8.0641 Å, 57.49 57.48 81.04°
Closest atoms and distances in Å follow each position.
Fractional positions:
1 Cl 0.2759 0.7243 0.0000  1 Cu 2.18
2 Cl 0.7241 0.2757 0.0000  1 Cu 2.18
3 Cl 0.7684 0.7684 0.4633  1 Tb 2.64
4 Cl 0.7684 0.7682 0.9999  1 Tb 2.64
5 Cl 0.2316 0.2318 0.0001  1 Tb 2.64
6 Cl 0.2316 0.2316 0.5367  1 Tb 2.64
7 Cs 0.2501 0.7500 0.4999  12 Cl 3.75-4.04
8 Cs 0.7499 0.2500 0.5001  12 Cl 3.75-4.04
9 Tb 0.0000 0.0000 0.0000  6 Cl 2.64-2.69
10 Cu 0.5000 0.5000 0.0000  2 Cl 2.18

---

Which structure is most stable? run 2, by 1.5 kJ/mol of atoms over the runner-up.

---

Run 1
Here is crystalline Cs2VCuCl6 at its relaxed geometry from Alexandria. Energies are from PBE.

Values from the calculation:
The density of states at the Fermi level is 10.37 states/eV/f.u.

Cell: 7.1468 7.1465 8.2205 Å, 125.12 125.12 77.53°
Closest atoms and distances in Å follow each position.
Fractional positions:
1 Cl 0.7686 0.7692 0.5419  1 Cu 2.40, 1 V 2.53
2 Cl 0.2735 0.7268 0.9780  1 Cu 2.32, 1 V 2.45
3 Cl 0.7781 0.7786 0.9722  1 V 2.33
4 Cl 0.2311 0.2317 0.0044  1 Cu 2.40, 1 V 2.53
5 Cl 0.2218 0.2223 0.4160  1 V 2.33
6 Cl 0.7263 0.2740 0.9779  1 Cu 2.32, 1 V 2.45
7 Cs 0.7610 0.2393 0.4974  10 Cl 3.53-3.77, 1 Cu 3.91
8 Cs 0.2388 0.7615 0.4974  10 Cl 3.53-3.77, 1 Cu 3.91
9 Cu 0.4998 0.5002 0.1156  4 Cl 2.32-2.40
10 V 0.9999 0.0004 0.9971  6 Cl 2.33-2.53

---

Run 2
Here is crystalline Cs2VCuCl6 at its relaxed geometry from Alexandria. Energies are from PBE.

Values from the calculation:
The density of states at the Fermi level is 0.23 states/eV/f.u.

Cell: 7.7700 7.7700 7.2316 Å, 57.51 57.51 90.00°
Closest atoms and distances in Å follow each position.
Fractional positions:
1 Cu 0.0000 0.0000 0.0000  2 Cl 2.17
2 Cs 0.2500 0.7500 0.5000  12 Cl 3.64-3.89
3 Cs 0.7500 0.2500 0.5000  12 Cl 3.64-3.89
4 Cl 0.7690 0.7690 0.4620  1 Cu 2.17
5 Cl 0.2840 0.2840 0.0000  1 V 2.37
6 Cl 0.2840 0.7160 0.0000  1 V 2.37
7 Cl 0.7160 0.7160 0.0000  1 V 2.37
8 Cl 0.2310 0.2310 0.5380  1 Cu 2.17
9 Cl 0.7160 0.2840 0.0000  1 V 2.37
10 V 0.5000 0.5000 0.0000  6 Cl 2.37-2.53

---

Which structure is most stable? run 1, by 1.2 kJ/mol of atoms over the runner-up.

---

Run 1
Here is crystalline CsDy2Cl7 at its relaxed geometry from Alexandria. Energies are from PBE.

Values from the calculation:
The density of states at the Fermi level is 0.00 states/eV/f.u.

Cell: 7.0206 12.7248 14.3825 Å, 90.00 90.00 90.00°
Closest atoms and distances in Å follow each position.
Fractional positions:
1 Cl 0.2500 0.2973 0.3819  2 Dy 2.75-2.77
2 Cl 0.4881 0.2957 0.1808  2 Dy 2.71-2.72
3 Cl 0.5099 0.4368 0.8654  2 Dy 2.70-2.72
4 Cl 0.0099 0.5632 0.1346  2 Dy 2.70-2.72
5 Cl 0.5119 0.7957 0.3192  2 Dy 2.71-2.72
6 Cl 0.4905 0.0295 0.1364  2 Dy 2.72-2.74
7 Cl 0.9901 0.0632 0.3654  2 Dy 2.70-2.72
8 Cl 0.5099 0.0632 0.3654  2 Dy 2.70-2.72
9 Cl 0.5095 0.9705 0.8636  2 Dy 2.72-2.74
10 Cl 0.7500 0.7027 0.6181  2 Dy 2.75-2.77
11 Cl 0.4881 0.2043 0.6808  2 Dy 2.71-2.72
12 Cl 0.4901 0.9368 0.6346  2 Dy 2.70-2.72
13 Cl 0.0099 0.9368 0.6346  2 Dy 2.70-2.72
14 Cl 0.5119 0.7043 0.8192  2 Dy 2.71-2.72
15 Cl 0.9901 0.4368 0.8654  2 Dy 2.70-2.72
16 Cl 0.9905 0.5295 0.3636  2 Dy 2.72-2.74
17 Cl 0.0119 0.2043 0.6808  2 Dy 2.71-2.72
18 Cl 0.5095 0.5295 0.3636  2 Dy 2.72-2.74
19 Cl 0.9881 0.7957 0.3192  2 Dy 2.71-2.72
20 Cl 0.7500 0.7973 0.1181  2 Dy 2.75-2.77
21 Cl 0.4905 0.4705 0.6364  2 Dy 2.72-2.74
22 Cl 0.4901 0.5632 0.1346  2 Dy 2.70-2.72
23 Cl 0.9905 0.9705 0.8636  2 Dy 2.72-2.74
24 Cl 0.9881 0.7043 0.8192  2 Dy 2.71-2.72
25 Cl 0.0095 0.0295 0.1364  2 Dy 2.72-2.74
26 Cl 0.0095 0.4705 0.6364  2 Dy 2.72-2.74
27 Cl 0.2500 0.2027 0.8819  2 Dy 2.75-2.77
28 Cl 0.0119 0.2957 0.1808  2 Dy 2.71-2.72
29 Dy 0.7500 0.5517 0.7570  7 Cl 2.71-2.77
30 Dy 0.2500 0.4483 0.2430  7 Cl 2.71-2.77
31 Dy 0.7500 0.8557 0.7530  7 Cl 2.70-2.75
32 Dy 0.2500 0.1443 0.2470  7 Cl 2.70-2.75
33 Dy 0.7500 0.9483 0.2570  7 Cl 2.71-2.77
34 Dy 0.2500 0.3557 0.7470  7 Cl 2.70-2.75
35 Dy 0.2500 0.0517 0.7430  7 Cl 2.71-2.77
36 Dy 0.7500 0.6443 0.2530  7 Cl 2.70-2.75
37 Cs 0.2500 0.7067 0.5311  10 Cl 3.69-3.77
38 Cs 0.7500 0.2933 0.4689  10 Cl 3.69-3.77
39 Cs 0.7500 0.2067 0.9689  10 Cl 3.69-3.77
40 Cs 0.2500 0.7933 0.0311  10 Cl 3.69-3.77

---

Run 2
Here is crystalline CsDy2Cl7 at its relaxed geometry from Alexandria. Energies are from PBE.

Values from the calculation:
The density of states at the Fermi level is 0.00 states/eV/f.u.

Cell: 5.3300 8.1338 8.1338 Å, 117.09 90.00 90.00°
Closest atoms and distances in Å follow each position.
Fractional positions:
1 Cl 0.5000 0.0461 0.3305  2 Dy 2.75-2.76
2 Cl 0.0000 0.7025 0.2975  2 Dy 2.67
3 Cl 0.0000 0.2975 0.7025  2 Dy 2.67
4 Cl 0.5000 0.3305 0.0461  2 Dy 2.75-2.76
5 Cl 0.5000 0.6695 0.9539  2 Dy 2.75-2.76
6 Cl 0.5000 0.9539 0.6695  2 Dy 2.75-2.76
7 Cl 0.5000 0.5000 0.5000  2 Dy 2.72
8 Dy 0.5000 0.6958 0.3042  7 Cl 2.67-2.76
9 Dy 0.5000 0.3042 0.6958  7 Cl 2.67-2.76
10 Cs 0.0000 0.0000 0.0000  8 Cl 3.68

---

Which structure is most stable? run 1, by 3.5 kJ/mol of atoms over the runner-up.